Ga2SnPd | PBE | optimized geometry

The space group is I-42d, No. 122. For the calculated formation energy, the calculation gives -181 meV per atom. The density comes out at 7.422 Mg/m³.

a b c (Å): 4.321 4.321 9.255
angles (deg): 76.50 76.50 90.00
Positions (direct):
1 Sn 0.750 0.250 0.500
2 Pd 0.250 0.750 0.500
3 Sn 0.000 0.000 0.000
4 Pd 0.500 0.500 0.000
5 Ga 0.875 0.810 0.750
6 Ga 0.190 0.625 0.250
7 Ga 0.560 0.125 0.250
8 Ga 0.375 0.440 0.750